No. 1
# CsDy2Cl7

A relaxed CsDy2Cl7 crystal (PBE-GGA, Alexandria via LeMat-Bulk).

a = 8.4894 Å, b = 13.8767 Å, c = 5.3300 Å
α = 90.00°, β = 90.00°, γ = 90.00°
Last column: nearest neighbours and their distance in Å.
Space group Cmmm (No. 65)
Asymmetric unit:
Cs (0.0000, 0.0000, 0.0000) x2  8 Cl 3.68
Dy (0.0000, 0.3042, 0.5000) x4  7 Cl 2.67-2.76
Cl (0.0000, 0.2975, 0.0000) x4  2 Dy 2.67
Cl (0.0000, 0.5000, 0.5000) x2  2 Dy 2.72
Cl (0.1883, 0.1422, 0.5000) x8  2 Dy 2.75-2.76

Computed properties:
Crystal system = orthorhombic
Raw formation energy = -2.2433 eV/atom
Total DFT energy (no corrections) = -4.5417 eV/atom
ΔE to the lowest computed polymorph = 0.36 eV per formula unit

***

No. 2
# CsDy2Cl7

A relaxed CsDy2Cl7 crystal (PBE-GGA, Alexandria via LeMat-Bulk).

a = 14.3825 Å, b = 7.0206 Å, c = 12.7248 Å
α = 90.00°, β = 90.00°, γ = 90.00°
Last column: nearest neighbours and their distance in Å.
Space group Pnma (No. 62)
Asymmetric unit:
Cs (0.0311, 0.2500, 0.2067) x4  10 Cl 3.69-3.77
Dy (0.2430, 0.2500, 0.5517) x4  7 Cl 2.71-2.77
Dy (0.2470, 0.2500, 0.8557) x4  7 Cl 2.70-2.75
Cl (0.1181, 0.7500, 0.2027) x4  2 Dy 2.75-2.77
Cl (0.1346, 0.0099, 0.4368) x8  2 Dy 2.70-2.72
Cl (0.1364, 0.0095, 0.9705) x8  2 Dy 2.72-2.74
Cl (0.1808, 0.0119, 0.7043) x8  2 Dy 2.71-2.72

Computed properties:
Crystal system = orthorhombic
Raw formation energy = -2.2792 eV/atom
Total DFT energy (no corrections) = -4.5777 eV/atom
ΔE to the lowest computed polymorph = 0.00 eV per formula unit